# RbTc2Br

RbTc2Br after structural relaxation (PBEsol, Alexandria).

abc: 6.538 6.538 6.538
angles: 90.00 90.00 90.00
Space group Fm-3m (No. 225)
Asymmetric unit:
Rb  0.000  0.000  0.000 (multiplicity 4)
Tc  0.250  0.250  0.250 (multiplicity 8)
Br  0.000  0.000  0.500 (multiplicity 4)

For the formation energy without anion corrections, the calculation gives 195.2 kJ per mole of atoms. The density of states at the Fermi level is 1.55 states/eV per atom. For the total energy, the calculation gives -4.3335 eV/atom.